VASP calculation (PBE-GGA) on BaSb2Pb2 after structural relaxation.

a b c (Å): 9.040 9.040 4.129
angles (deg): 90.00 90.00 90.00
Fractional coordinates of all 10 atoms:
Sb  0.825  0.325  0.500
Sb  0.325  0.175  0.500
Pb  0.875  0.625  0.000
Pb  0.625  0.125  0.000
Ba  0.500  0.500  0.000
Sb  0.675  0.825  0.500
Sb  0.175  0.675  0.500
Pb  0.125  0.375  0.000
Pb  0.375  0.875  0.000
Ba  0.000  0.000  0.000

Output
SG: P4/mbm
formation energy (no corrections): -0.251 eV/atom
volume: 33.7 A^3/atom
size of the total moment: 0.00 μB per formula unit
total energy: -3.768 eV/atom